Here is an optimized crystal structure of Tb2TlCu from the Alexandria database. Energies are from GGA-PBE.

Output
space-group type: P4/mmm (123)
ΔE_f: -0.285 eV/atom

Geometry as CIF:
```
data_Tb2TlCu
_symmetry_space_group_name_H-M 'P 1'
_symmetry_Int_Tables_number 1
_symmetry_space_group_name_Hall 'P 1'
_cell_length_a 3.5735
_cell_length_b 3.5735
_cell_length_c 7.6670
_cell_angle_alpha 90.00
_cell_angle_beta 90.00
_cell_angle_gamma 90.00
loop_
_atom_site_label
_atom_site_fract_x
_atom_site_fract_y
_atom_site_fract_z
Tb1 0.0000 0.0000 0.2211
Tb2 0.0000 0.0000 0.7789
Tl1 0.5000 0.5000 0.5000
Cu1 0.5000 0.5000 0.0000
```



Here is an optimized crystal structure of Zn2RuCl from the Alexandria database. Energies are from GGA-PBE.

Output
space-group type: Fm-3m (225)
formation energy without anion corrections: 0.63 eV per atom

Geometry as CIF:
```
data_Zn2RuCl
_symmetry_space_group_name_H-M 'P 1'
_symmetry_Int_Tables_number 1
_symmetry_space_group_name_Hall 'P 1'
_cell_length_a 4.5214
_cell_length_b 4.5214
_cell_length_c 4.5214
_cell_angle_alpha 60.00
_cell_angle_beta 60.00
_cell_angle_gamma 60.00
loop_
_atom_site_label
_atom_site_fract_x
_atom_site_fract_y
_atom_site_fract_z
Zn1 0.7500 0.7500 0.7500
Zn2 0.2500 0.2500 0.2500
Cl1 0.0000 0.0000 0.0000
Ru1 0.5000 0.5000 0.5000
```



Here is an optimized crystal structure of Sm5Tl2Bi from the Alexandria database. Energies are from GGA-PBE.

Output
space-group type: I4/mcm (140)
ΔE_f: -0.431 eV/atom

Geometry as CIF:
```
data_Sm5Tl2Bi
_symmetry_space_group_name_H-M 'P 1'
_symmetry_Int_Tables_number 1
_symmetry_space_group_name_Hall 'P 1'
_cell_length_a 8.6779
_cell_length_b 8.6779
_cell_length_c 9.0120
_cell_angle_alpha 118.78
_cell_angle_beta 118.78
_cell_angle_gamma 90.00
loop_
_atom_site_label
_atom_site_fract_x
_atom_site_fract_y
_atom_site_fract_z
Tl1 0.6461 0.1461 0.0000
Tl2 0.1461 0.3539 0.0000
Tl3 0.8539 0.6461 0.0000
Tl4 0.3539 0.8539 0.0000
Sm1 0.0000 0.0000 0.0000
Sm2 0.1966 0.0047 0.7012
Sm3 0.6966 0.1966 0.7012
Sm4 0.3034 0.8034 0.2988
Sm5 0.5047 0.6966 0.7012
Sm6 0.5000 0.5000 0.0000
Sm7 0.9953 0.4953 0.2988
Sm8 0.0047 0.5047 0.7012
Sm9 0.8034 0.9953 0.2988
Sm10 0.4953 0.3034 0.2988
Bi1 0.2500 0.2500 0.5000
Bi2 0.7500 0.7500 0.5000
```



Here is an optimized crystal structure of CsKTl4Bi2 from the Alexandria database. Energies are from GGA-PBE.

Output
space-group type: P4/mmm (123)
ΔE_f: -0.178 eV/atom

Geometry as CIF:
```
data_CsKTl4Bi2
_symmetry_space_group_name_H-M 'P 1'
_symmetry_Int_Tables_number 1
_symmetry_space_group_name_Hall 'P 1'
_cell_length_a 4.9525
_cell_length_b 4.9525
_cell_length_c 13.7263
_cell_angle_alpha 90.00
_cell_angle_beta 90.00
_cell_angle_gamma 90.00
loop_
_atom_site_label
_atom_site_fract_x
_atom_site_fract_y
_atom_site_fract_z
Tl1 0.5000 0.0000 0.2336
Tl2 0.0000 0.5000 0.7664
Tl3 0.5000 0.0000 0.7664
Tl4 0.0000 0.5000 0.2336
K1 0.0000 0.0000 0.5000
Bi1 0.5000 0.5000 0.6161
Bi2 0.5000 0.5000 0.3839
Cs1 0.0000 0.0000 0.0000
```



Here is an optimized crystal structure of Ce2MgGe4Au3 from the Alexandria database. Energies are from GGA-PBE.

Output
space-group type: P-4m2 (115)
ΔE_f: -0.510 eV/atom

Geometry as CIF:
```
data_Ce2MgGe4Au3
_symmetry_space_group_name_H-M 'P 1'
_symmetry_Int_Tables_number 1
_symmetry_space_group_name_Hall 'P 1'
_cell_length_a 4.3250
_cell_length_b 4.3250
_cell_length_c 11.3430
_cell_angle_alpha 90.00
_cell_angle_beta 90.00
_cell_angle_gamma 90.00
loop_
_atom_site_label
_atom_site_fract_x
_atom_site_fract_y
_atom_site_fract_z
Ge1 0.0000 0.5000 0.3574
Ge2 0.5000 0.0000 0.6426
Ge3 0.0000 0.0000 0.0000
Ge4 0.5000 0.5000 0.0000
Ce1 0.5000 0.0000 0.2511
Ce2 0.0000 0.5000 0.7489
Au1 0.5000 0.0000 0.8639
Au2 0.0000 0.5000 0.1361
Au3 0.0000 0.0000 0.5000
Mg1 0.5000 0.5000 0.5000
```



Here is an optimized crystal structure of FeIr2C from the Alexandria database. Energies are from GGA-PBE.

Output
space-group type: I-42d (122)
ΔE_f: 0.698 eV/atom

Geometry as CIF:
```
data_FeIr2C
_symmetry_space_group_name_H-M 'P 1'
_symmetry_Int_Tables_number 1
_symmetry_space_group_name_Hall 'P 1'
_cell_length_a 5.2467
_cell_length_b 5.2467
_cell_length_c 5.8223
_cell_angle_alpha 63.22
_cell_angle_beta 63.22
_cell_angle_gamma 90.00
loop_
_atom_site_label
_atom_site_fract_x
_atom_site_fract_y
_atom_site_fract_z
C1 0.5000 0.5000 0.0000
C2 0.2500 0.7500 0.5000
Ir1 0.8750 0.8016 0.7500
Ir2 0.5516 0.1250 0.2500
Ir3 0.3750 0.4484 0.7500
Ir4 0.1984 0.6250 0.2500
Fe1 0.0000 0.0000 0.0000
Fe2 0.7500 0.2500 0.5000
```



Here is an optimized crystal structure of ThBiPdRh from the Alexandria database. Energies are from GGA-PBE.

Output
space-group type: F-43m (216)
ΔE_f: -0.596 eV/atom

Geometry as CIF:
```
data_ThBiPdRh
_symmetry_space_group_name_H-M 'P 1'
_symmetry_Int_Tables_number 1
_symmetry_space_group_name_Hall 'P 1'
_cell_length_a 4.9824
_cell_length_b 4.9824
_cell_length_c 4.9824
_cell_angle_alpha 60.00
_cell_angle_beta 60.00
_cell_angle_gamma 60.00
loop_
_atom_site_label
_atom_site_fract_x
_atom_site_fract_y
_atom_site_fract_z
Pd1 0.0000 0.0000 0.0000
Th1 0.7500 0.7500 0.7500
Rh1 0.5000 0.5000 0.5000
Bi1 0.2500 0.2500 0.2500
```



Here is an optimized crystal structure of Ba8CuPd2 from the Alexandria database. Energies are from GGA-PBE.

Output
space-group type: C2/m (12)
ΔE_f: -0.172 eV/atom

Geometry as CIF:
```
data_Ba8CuPd2
_symmetry_space_group_name_H-M 'P 1'
_symmetry_Int_Tables_number 1
_symmetry_space_group_name_Hall 'P 1'
_cell_length_a 8.4137
_cell_length_b 8.6406
_cell_length_c 8.7172
_cell_angle_alpha 89.79
_cell_angle_beta 118.85
_cell_angle_gamma 90.00
loop_
_atom_site_label
_atom_site_fract_x
_atom_site_fract_y
_atom_site_fract_z
Ba1 0.7940 0.7319 0.0750
Ba2 0.2839 0.6065 0.5678
Ba3 0.7990 0.8754 0.5980
Ba4 0.2010 0.1246 0.4020
Ba5 0.7189 0.2681 0.9250
Ba6 0.2811 0.7319 0.0750
Ba7 0.7161 0.3935 0.4322
Ba8 0.2060 0.2681 0.9250
Pd1 0.9055 0.5479 0.8109
Pd2 0.0945 0.4521 0.1891
Cu1 0.0000 0.0000 0.0000
```



Here is an optimized crystal structure of HfMnBe from the Alexandria database. Energies are from GGA-PBE.

Output
space-group type: Cmcm (63)
ΔE_f: 0.300 eV/atom

Geometry as CIF:
```
data_HfMnBe
_symmetry_space_group_name_H-M 'P 1'
_symmetry_Int_Tables_number 1
_symmetry_space_group_name_Hall 'P 1'
_cell_length_a 4.4635
_cell_length_b 2.8831
_cell_length_c 6.9607
_cell_angle_alpha 78.05
_cell_angle_beta 90.00
_cell_angle_gamma 90.00
loop_
_atom_site_label
_atom_site_fract_x
_atom_site_fract_y
_atom_site_fract_z
Hf1 0.7500 0.6627 0.6747
Hf2 0.2500 0.3373 0.3253
Be1 0.2500 0.1451 0.7098
Be2 0.7500 0.8549 0.2902
Mn1 0.0000 0.0000 0.0000
Mn2 0.5000 0.0000 0.0000
```



Here is an optimized crystal structure of La4ThCd from the Alexandria database. Energies are from GGA-PBE.

Output
space-group type: P4/mmm (123)
ΔE_f: -0.086 eV/atom

Geometry as CIF:
```
data_La4ThCd
_symmetry_space_group_name_H-M 'P 1'
_symmetry_Int_Tables_number 1
_symmetry_space_group_name_Hall 'P 1'
_cell_length_a 3.6609
_cell_length_b 3.6609
_cell_length_c 15.1574
_cell_angle_alpha 90.00
_cell_angle_beta 90.00
_cell_angle_gamma 90.00
loop_
_atom_site_label
_atom_site_fract_x
_atom_site_fract_y
_atom_site_fract_z
La1 0.0000 0.0000 0.3537
La2 0.5000 0.5000 0.8373
La3 0.5000 0.5000 0.1627
La4 0.0000 0.0000 0.6463
Th1 0.0000 0.0000 0.0000
Cd1 0.5000 0.5000 0.5000
```



Here is an optimized crystal structure of Sb2RuIO from the Alexandria database. Energies are from GGA-PBE.

Output
space-group type: P4/mmm (123)
formation energy without anion corrections: 0.60 eV per atom

Geometry as CIF:
```
data_Sb2RuIO
_symmetry_space_group_name_H-M 'P 1'
_symmetry_Int_Tables_number 1
_symmetry_space_group_name_Hall 'P 1'
_cell_length_a 4.5065
_cell_length_b 4.5065
_cell_length_c 5.2427
_cell_angle_alpha 90.00
_cell_angle_beta 90.00
_cell_angle_gamma 90.00
loop_
_atom_site_label
_atom_site_fract_x
_atom_site_fract_y
_atom_site_fract_z
O1 0.0000 0.0000 0.0000
Sb1 0.0000 0.5000 0.0000
Sb2 0.5000 0.0000 0.0000
Ru1 0.5000 0.5000 0.5000
I1 0.0000 0.0000 0.5000
```



Here is an optimized crystal structure of K2LiPrBr6 from the Alexandria database. Energies are from GGA-PBE.

Output
space-group type: Fm-3m (225)
formation energy without anion corrections: -1.72 eV per atom

Geometry as CIF:
```
data_K2LiPrBr6
_symmetry_space_group_name_H-M 'P 1'
_symmetry_Int_Tables_number 1
_symmetry_space_group_name_Hall 'P 1'
_cell_length_a 7.9350
_cell_length_b 7.9350
_cell_length_c 7.9350
_cell_angle_alpha 60.00
_cell_angle_beta 60.00
_cell_angle_gamma 60.00
loop_
_atom_site_label
_atom_site_fract_x
_atom_site_fract_y
_atom_site_fract_z
Br1 0.2576 0.7424 0.7424
Br2 0.2576 0.7424 0.2576
Br3 0.7424 0.2576 0.2576
Br4 0.7424 0.7424 0.2576
Br5 0.7424 0.2576 0.7424
Br6 0.2576 0.2576 0.7424
K1 0.7500 0.7500 0.7500
K2 0.2500 0.2500 0.2500
Pr1 0.0000 0.0000 0.0000
Li1 0.5000 0.5000 0.5000
```